(i)
K2CuOs | PBE | optimized geometry

Results
N(E_F) = 1.022 states/eV per atom
Space group = Cm

a b c (Å): 6.4772 6.4772 6.1994
angles (deg): 107.45 107.45 23.84
With the nearest neighbours (Å) after each atom.
Positions (direct):
1 K 0.0000 0.0000 0.0000  2 K 2.68
2 K 0.1990 0.1990 0.6057  2 K 2.68
3 Cu 0.7781 0.7781 0.1674  2 Os 2.52, 2 Cu 2.68
4 Os 0.4270 0.4270 0.4464  2 Cu 2.52, 2 Os 2.68

***

(ii)
K2CuOs | PBE | optimized geometry

Results
N(E_F) = 0.748 states/eV per atom
Space group = Cmmm

a b c (Å): 2.7928 2.7928 11.0379
angles (deg): 90.00 90.00 102.39
With the nearest neighbours (Å) after each atom.
Positions (direct):
1 K 0.0000 0.0000 0.2483  4 K 2.79
2 K 0.0000 0.0000 0.7517  4 K 2.79
3 Cu 0.5000 0.5000 0.5000  4 Cu 2.79
4 Os 0.5000 0.5000 0.0000  4 Os 2.79

***

(iii)
K2CuOs | PBE | optimized geometry

Results
N(E_F) = 0.380 states/eV per atom
Space group = Pmmm

a b c (Å): 2.7119 5.3917 5.8231
angles (deg): 90.00 90.00 90.00
With the nearest neighbours (Å) after each atom.
Positions (direct):
1 K 0.0000 0.0000 0.2488  4 K 2.71-2.93
2 K 0.0000 0.0000 0.7512  4 K 2.71-2.93
3 Cu 0.5000 0.5000 0.5000  2 Cu 2.71, 2 Os 2.91
4 Os 0.5000 0.5000 0.0000  2 Os 2.71, 2 Cu 2.91

***

(iv)
K2CuOs | PBE | optimized geometry

Results
N(E_F) = 1.137 states/eV per atom
Space group = I4/mmm

a b c (Å): 6.0649 6.0649 6.0649
angles (deg): 141.56 141.56 55.50
With the nearest neighbours (Å) after each atom.
Positions (direct):
1 K 0.2500 0.7500 0.5000  4 K 2.82
2 K 0.7500 0.2500 0.5000  4 K 2.82
3 Cu 0.0000 0.0000 0.0000  4 Os 2.82
4 Os 0.5000 0.5000 0.0000  4 Cu 2.82

***

(i) is favored, and the nearest alternative lies 19.0 kJ/mol of atoms above it.

***

(i)
K2CuOs | PBE | optimized geometry

Results
N(E_F) = 1.057 states/eV per atom
Space group = R-3m

a b c (Å): 11.2498 11.2498 11.2498
angles (deg): 14.81 14.81 14.81
With the nearest neighbours (Å) after each atom.
Positions (direct):
1 K 0.2492 0.2492 0.2492  6 K 2.90, 3 Cu 3.22
2 K 0.7508 0.7508 0.7508  6 K 2.90, 3 Cu 3.22
3 Cu 0.5000 0.5000 0.5000  6 Cu 2.90, 6 K 3.22
4 Os 0.0000 0.0000 0.0000  6 Os 2.90

***

(ii)
K2CuOs | PBE | optimized geometry

Results
N(E_F) = 0.598 states/eV per atom
Space group = F-43m

a b c (Å): 5.1719 5.1719 5.1719
angles (deg): 60.00 60.00 60.00
With the nearest neighbours (Å) after each atom.
Positions (direct):
1 K 0.0000 0.0000 0.0000  4 Os 3.17, 4 K 3.17
2 K 0.2500 0.2500 0.2500  4 Cu 3.17, 4 K 3.17
3 Cu 0.5000 0.5000 0.5000  4 K 3.17, 4 Os 3.17
4 Os 0.7500 0.7500 0.7500  4 Cu 3.17, 4 K 3.17

***

(iii)
K2CuOs | PBE | optimized geometry

Results
N(E_F) = 1.034 states/eV per atom
Space group = Pm

a b c (Å): 2.7110 4.2481 9.9929
angles (deg): 90.00 96.87 90.00
With the nearest neighbours (Å) after each atom.
Positions (direct):
1 K 0.0000 0.0000 0.0000  2 K 2.71
2 K 0.2450 0.5000 0.5582  2 K 2.71
3 Cu 0.1368 0.0000 0.3065  4 Os 2.57, 2 Cu 2.71
4 Os 0.6129 0.5000 0.2533  4 Cu 2.57, 2 Os 2.71

***

(iii) is favored, and the nearest alternative lies 34.6 kJ/mol of atoms above it.

***

(i)
KCu3Os | PBE | optimized geometry

Results
N(E_F) = 0.902 states/eV per atom
Space group = Pm-3m

a b c (Å): 4.8147 4.8147 4.8147
angles (deg): 90.00 90.00 90.00
With the nearest neighbours (Å) after each atom.
Positions (direct):
1 K 0.0000 0.0000 0.0000  12 Cu 3.40
2 Cu 0.0000 0.5000 0.5000  2 Os 2.41
3 Cu 0.5000 0.0000 0.5000  2 Os 2.41
4 Cu 0.5000 0.5000 0.0000  2 Os 2.41
5 Os 0.5000 0.5000 0.5000  6 Cu 2.41

***

(ii)
KCu3Os | PBE | optimized geometry

Results
N(E_F) = 0.593 states/eV per atom
Space group = Pm-3m

a b c (Å): 4.5221 4.5221 4.5221
angles (deg): 90.00 90.00 90.00
With the nearest neighbours (Å) after each atom.
Positions (direct):
1 K 0.0000 0.0000 0.0000  6 Cu 2.26
2 Cu 0.0000 0.0000 0.5000  2 K 2.26
3 Cu 0.0000 0.5000 0.0000  2 K 2.26
4 Cu 0.5000 0.0000 0.0000  2 K 2.26
5 Os 0.5000 0.5000 0.5000  12 Cu 3.20

***

(i) is favored, and the nearest alternative lies 139.0 kJ/mol of atoms above it.

***

(i)
KCu3P | PBE | optimized geometry

Results
N(E_F) = 0.608 states/eV per atom
Space group = Pm-3m

a b c (Å): 4.8611 4.8611 4.8611
angles (deg): 90.00 90.00 90.00
With the nearest neighbours (Å) after each atom.
Positions (direct):
1 K 0.0000 0.0000 0.0000  6 Cu 2.43
2 Cu 0.0000 0.0000 0.5000  2 K 2.43
3 Cu 0.0000 0.5000 0.0000  2 K 2.43
4 Cu 0.5000 0.0000 0.0000  2 K 2.43
5 P 0.5000 0.5000 0.5000  12 Cu 3.44

***

(ii)
KCu3P | PBE | optimized geometry

Results
N(E_F) = 0.611 states/eV per atom
Space group = Pm-3m

a b c (Å): 4.5482 4.5482 4.5482
angles (deg): 90.00 90.00 90.00
With the nearest neighbours (Å) after each atom.
Positions (direct):
1 K 0.0000 0.0000 0.0000  12 Cu 3.22
2 Cu 0.0000 0.5000 0.5000  2 P 2.27
3 Cu 0.5000 0.0000 0.5000  2 P 2.27
4 Cu 0.5000 0.5000 0.0000  2 P 2.27
5 P 0.5000 0.5000 0.5000  6 Cu 2.27

***

(ii) is favored, and the nearest alternative lies 169.5 kJ/mol of atoms above it.